CaAu2Se2 | PBE-GGA | optimized geometry

a = 7.676 Å, b = 7.676 Å, c = 3.784 Å
α = 90.00°, β = 90.00°, γ = 90.00°
Atoms (fractional coordinates):
Ca: 0.000 0.000 0.000
Ca: 0.500 0.500 0.000
Au: 0.377 0.877 0.000
Au: 0.877 0.623 0.000
Au: 0.623 0.123 0.000
Au: 0.123 0.377 0.000
Se: 0.202 0.702 0.500
Se: 0.702 0.798 0.500
Se: 0.798 0.298 0.500
Se: 0.298 0.202 0.500

Calculated values
The calculation puts the formation energy from raw total energies at -482 meV/atom. Its space-group type is P4/mbm, No. 127. The calculated total energy comes out at -3.5873 eV/atom. The excess energy over the best structure of this formula in the dataset comes out at 70 meV per atom. The calculation puts the magnetization at 0.0 Bohr magnetons per cell.